[1]
Here is a relaxed structure of Dy2TmAl3Cu3 from OQMD. Energies are from PBE.

The magnetic moment is 0.00 μB per formula unit. Its total energy is -4.466 eV per atom.

The space group is Amm2 (No. 38) and the conventional cell measures 3.997, 12.121 and 6.994 Å, with angles of 90.00, 90.00 and 90.00 degrees. The asymmetric unit holds Dy at (0.000, 0.207, 0.000), Tm at (0.000, 0.000, 0.378), Al at (0.500, 0.000, 0.029), Al at (0.500, 0.118, 0.673), Cu at (0.000, 0.000, 0.790) and Cu at (0.500, 0.165, 0.293).


[2]
Here is a relaxed structure of PrTlCoSe3 from OQMD. Energies are from PBE.

The magnetic moment is 2.68 μB per formula unit. Its total energy is -4.989 eV per atom.

The space group is Pnma (No. 62) and the conventional cell measures 11.752, 4.247 and 12.533 Å, with angles of 90.00, 90.00 and 90.00 degrees. The asymmetric unit holds Pr at (0.020, 0.250, 0.174), Tl at (0.171, 0.250, 0.507), Co at (0.249, 0.750, 0.301), Se at (0.050, 0.750, 0.338), Se at (0.113, 0.250, 0.942) and Se at (0.220, 0.750, 0.710).


[3]
Here is a relaxed structure of Np2InS4Cl from OQMD. Energies are from PBE.

The magnetic moment is 7.85 μB per formula unit. Its total energy is -6.993 eV per atom.

The space group is C2/m (No. 12) and the conventional cell measures 12.522, 3.876 and 7.713 Å, with angles of 90.00, 110.48 and 90.00 degrees. The asymmetric unit holds Np at (0.184, 0.000, 0.198), In at (0.000, 0.000, 0.500), S at (0.139, 0.500, 0.442), S at (0.168, 0.000, 0.824) and Cl at (0.000, 0.500, 0.000).


[4]
Here is a relaxed structure of Pu4Pt3 from OQMD. Energies are from PBE.

The magnetic moment is 22.48 μB per formula unit. The energy of formation comes out at -0.787 eV per atom. Its total energy is -11.454 eV per atom.

The space group is R-3 (No. 148, hexagonal axes) and the conventional cell measures 12.3691, 12.3691 and 7.4281 Å, with angles of 90.00, 90.00 and 120.00 degrees. The asymmetric unit holds Pu at (0.0000, 0.0000, 0.0000), Pu at (0.0000, 0.0000, 0.5000), Pu at (0.0380, 0.4502, 0.3150) and Pt at (0.0482, 0.2116, 0.2571).


What did the first record say?
Here is a relaxed structure of Dy2TmAl3Cu3 from OQMD. Energies are from PBE.

The magnetic moment is 0.00 μB per formula unit. Its total energy is -4.466 eV per atom.

The space group is Amm2 (No. 38) and the conventional cell measures 3.997, 12.121 and 6.994 Å, with angles of 90.00, 90.00 and 90.00 degrees. The asymmetric unit holds Dy at (0.000, 0.207, 0.000), Tm at (0.000, 0.000, 0.378), Al at (0.500, 0.000, 0.029), Al at (0.500, 0.118, 0.673), Cu at (0.000, 0.000, 0.790) and Cu at (0.500, 0.165, 0.293).